1.
Material: Li4Ac2Tl3
Method: DFT, PBE
State: optimized geometry

Geometry as extended XYZ:
```
18
Lattice="-0.677 -5.299 -4.764 5.752 2.789 -3.920 5.835 -2.201 6.996" Properties=species:S:1:pos:R:3 pbc="T T T"
Li 9.097 -3.602 0.026
Li 1.475 -3.758 -4.095
Li 1.814 -1.108 -1.713
Li 9.435 -0.953 2.407
Li 1.856 -1.547 1.458
Li 9.055 -3.163 -3.145
Li 6.649 -1.844 1.107
Li 4.262 -2.866 -2.795
Ac 4.577 0.444 -1.144
Ac 6.334 -5.154 -0.544
Ac 4.600 -3.509 3.250
Ac 6.310 -1.201 -4.938
Tl 0.000 0.000 0.000
Tl 2.538 -1.255 -4.342
Tl 7.082 -1.824 -1.665
Tl 3.490 -5.535 -2.404
Tl 3.828 -2.886 -0.022
Tl 7.421 0.825 0.716
```

Total energy = -2.778 eV per atom

2.
Material: Li5Ac3Tl6
Method: DFT, PBE
State: optimized geometry

Geometry as extended XYZ:
```
28
Lattice="5.080 0.000 0.000 0.000 9.723 0.000 0.000 0.000 15.152" Properties=species:S:1:pos:R:3 pbc="T T T"
Li 0.000 5.240 13.221
Li 0.000 8.711 9.930
Li 0.000 7.528 0.000
Li 2.540 4.483 9.508
Li 2.540 2.195 7.576
Li 0.000 5.240 1.932
Li 2.540 4.483 5.645
Li 0.000 8.711 5.223
Li 2.540 1.012 12.799
Li 2.540 1.012 2.353
Ac 0.000 2.518 10.808
Ac 2.540 7.205 3.232
Ac 2.540 7.205 11.920
Ac 0.000 2.241 0.000
Ac 2.540 7.481 7.576
Ac 0.000 2.518 4.344
Tl 0.000 9.323 12.829
Tl 2.540 0.400 9.899
Tl 2.540 3.769 12.841
Tl 2.540 5.810 0.000
Tl 0.000 3.913 7.576
Tl 0.000 5.953 9.887
Tl 0.000 5.953 5.265
Tl 2.540 9.149 0.000
Tl 0.000 9.323 2.323
Tl 2.540 3.769 2.311
Tl 0.000 0.573 7.576
Tl 2.540 0.400 5.253
```

Total energy = -2.870 eV per atom

3.
Material: Li4AcTl4
Method: DFT, PBE
State: optimized geometry

Geometry as extended XYZ:
```
18
Lattice="-2.299 4.856 -3.845 -6.098 -1.058 2.311 1.644 6.607 7.361" Properties=species:S:1:pos:R:3 pbc="T T T"
Li -2.048 6.586 7.053
Li -3.339 9.312 4.895
Li -5.771 2.159 0.503
Li -2.348 2.753 -0.795
Li -3.703 1.985 4.722
Li -1.028 2.449 3.708
Li 0.315 5.224 3.223
Li -0.693 7.354 1.536
Ac 0.000 0.000 0.000
Ac -3.377 5.203 2.914
Tl -4.540 6.885 5.734
Tl -1.234 7.458 4.481
Tl -4.490 4.550 -0.322
Tl -3.243 1.917 1.762
Tl -0.134 3.285 1.151
Tl -1.186 5.508 -0.609
Tl -0.499 4.352 5.794
Tl -3.291 3.867 6.852
```

Total energy = -2.563 eV per atom

4.
Material: LiAc2Tl6
Method: DFT, PBE
State: optimized geometry

Geometry as extended XYZ:
```
9
Lattice="-6.729 1.214 -2.248 -5.116 1.769 4.743 -2.675 6.681 0.086" Properties=species:S:1:pos:R:3 pbc="T T T"
Li -7.260 4.832 1.291
Ac -3.629 2.415 0.645
Ac -10.890 7.249 1.936
Tl -4.781 5.828 0.640
Tl -6.102 3.177 3.156
Tl -8.417 6.486 -0.574
Tl -6.973 2.877 -0.620
Tl -7.546 6.786 3.202
Tl -9.738 3.836 1.942
```

Total energy = -2.995 eV per atom

5.
Material: Li6AcTl2
Method: DFT, PBE
State: optimized geometry

Geometry as extended XYZ:
```
9
Lattice="4.661 0.000 0.000 0.000 4.661 0.000 0.000 0.000 9.865" Properties=species:S:1:pos:R:3 pbc="T T T"
Li 0.000 2.330 3.091
Li 2.330 0.000 3.091
Li 0.000 2.330 6.774
Li 2.330 0.000 6.774
Li 2.330 2.330 4.933
Li 0.000 0.000 4.933
Ac 0.000 0.000 0.000
Tl 2.330 2.330 1.527
Tl 2.330 2.330 8.338
```

Energy above the lowest structure with this stoichiometry = 0.000 eV per atom

6.
Material: LiAc8Tl6
Method: DFT, PBE
State: optimized geometry

Geometry as extended XYZ:
```
15
Lattice="9.856 0.000 0.000 4.928 8.535 0.000 4.928 2.845 6.963" Properties=species:S:1:pos:R:3 pbc="T T T"
Li 0.000 0.000 0.000
Ac 8.300 2.752 2.299
Ac 11.622 2.874 4.664
Ac 6.534 5.568 4.664
Ac 9.856 5.690 0.036
Ac 9.856 5.690 6.927
Ac 13.178 5.812 2.299
Ac 8.089 8.506 2.299
Ac 11.411 8.628 4.664
Tl 8.111 2.823 5.805
Tl 11.467 2.746 1.159
Tl 6.500 5.768 1.159
Tl 13.211 5.613 5.805
Tl 8.245 8.635 5.805
Tl 11.600 8.558 1.159
```

Total energy = -3.419 eV per atom

7.
Material: LiAcTl
Method: DFT, PBE
State: optimized geometry

Geometry as extended XYZ:
```
12
Lattice="-1.203 -4.752 4.902 -3.745 -4.005 -4.802 9.622 0.671 3.012" Properties=species:S:1:pos:R:3 pbc="T T T"
Li 2.638 -2.852 0.328
Li 5.575 -4.525 -0.561
Li 2.035 -5.234 2.784
Li -0.902 -3.562 3.673
Ac -0.364 -4.528 0.422
Ac 6.921 0.185 1.879
Ac 5.037 -3.558 2.689
Ac -2.248 -8.271 1.232
Tl -0.490 -6.392 3.487
Tl 3.050 -5.683 0.141
Tl 5.163 -1.694 -0.375
Tl 1.623 -2.403 2.970
```

Energy above the lowest structure with this stoichiometry = 0.021 eV per atom

8.
Material: Li2Ac3Tl7
Method: DFT, PBE
State: optimized geometry

Geometry as extended XYZ:
```
12
Lattice="4.877 0.000 0.000 0.000 4.909 0.004 0.000 -2.431 14.827" Properties=species:S:1:pos:R:3 pbc="T T T"
Li 2.438 2.453 3.886
Li 2.438 0.026 10.945
Ac 2.438 2.455 0.002
Ac 0.000 0.011 5.482
Ac 0.000 2.467 9.349
Tl 2.438 2.467 6.527
Tl 2.438 0.012 8.303
Tl 0.000 2.454 2.585
Tl 0.000 0.000 0.000
Tl 0.000 0.025 12.246
Tl 2.438 2.480 12.249
Tl 2.438 -0.001 2.582
```

Energy above the lowest structure with this stoichiometry = 0.000 eV per atom

9.
Material: LiAc4Tl5
Method: DFT, PBE
State: optimized geometry

Geometry as extended XYZ:
```
10
Lattice="-2.522 0.314 2.927 0.419 -3.777 0.767 16.207 4.534 13.478" Properties=species:S:1:pos:R:3 pbc="T T T"
Li 0.000 0.000 0.000
Ac 2.905 0.813 2.416
Ac 6.370 1.782 5.297
Ac 9.837 2.752 8.181
Ac 13.301 3.721 11.062
Tl 0.145 -1.397 2.842
Tl 3.583 -0.435 5.701
Tl 7.052 0.536 8.586
Tl 10.520 1.506 11.470
Tl 13.959 2.468 14.330
```

Total energy = -3.346 eV per atom

10.
Material: Li2AcTl
Method: DFT, PBE
State: optimized geometry

Geometry as extended XYZ:
```
4
Lattice="3.818 0.000 0.000 0.000 3.818 0.000 0.000 0.000 7.380" Properties=species:S:1:pos:R:3 pbc="T T T"
Ac 1.909 1.909 3.690
Tl 1.909 1.909 0.000
Li 0.000 0.000 5.998
Li 0.000 0.000 1.381
```

Energy above the lowest structure with this stoichiometry = 0.131 eV per atom

11.
Material: Li5Ac4Tl6
Method: DFT, PBE
State: optimized geometry

Geometry as extended XYZ:
```
30
Lattice="-3.893 -2.429 2.052 8.506 -7.071 1.612 3.016 6.757 13.724" Properties=species:S:1:pos:R:3 pbc="T T T"
Li 0.212 2.717 9.778
Li 6.693 -7.080 4.320
Li 5.011 0.333 9.905
Li 1.897 -4.690 4.206
Li 1.541 -1.139 7.735
Li 7.138 0.749 14.432
Li 7.058 -2.256 10.724
Li -0.152 -2.105 3.377
Li 5.359 -3.208 6.371
Li 2.795 1.640 13.404
Ac 4.564 -6.503 7.120
Ac 3.233 4.136 11.031
Ac 3.053 -1.107 4.483
Ac 4.637 -1.499 13.184
Ac 3.853 -3.248 9.624
Ac 2.273 -2.863 0.925
Ac 2.325 2.156 6.965
Ac 6.703 -1.764 16.790
Tl 2.571 -3.743 6.605
Tl 7.166 -4.326 8.477
Tl 4.572 0.703 15.668
Tl 4.328 -0.598 7.506
Tl 8.276 -1.865 13.496
Tl -0.268 -0.030 5.614
Tl 4.895 -4.809 3.596
Tl 2.010 0.445 10.500
Tl 0.986 0.136 2.033
Tl 5.924 -4.491 12.083
Tl 1.653 4.248 14.324
Tl 5.364 1.685 12.175
```

Total energy = -2.939 eV per atom

12.
Material: Li2AcTl3
Method: DFT, PBE
State: optimized geometry

Geometry as extended XYZ:
```
12
Lattice="4.851 0.000 0.000 -2.425 4.201 0.000 0.000 0.000 15.596" Properties=species:S:1:pos:R:3 pbc="T T T"
Li 2.425 1.400 6.682
Li 0.000 2.800 8.914
Li 0.000 2.800 14.479
Li 2.425 1.400 1.116
Ac 0.000 0.000 3.899
Ac 0.000 0.000 11.697
Tl 0.000 0.000 7.798
Tl 0.000 0.000 0.000
Tl 2.425 1.400 9.695
Tl 0.000 2.800 1.898
Tl 2.425 1.400 13.698
Tl 0.000 2.800 5.900
```

Total energy = -2.763 eV per atom

13.
Material: Li2Ac3Tl7
Method: DFT, PBE
State: optimized geometry

Geometry as extended XYZ:
```
12
Lattice="4.735 0.000 -0.650 -0.089 4.735 -0.650 -0.186 -0.189 16.212" Properties=species:S:1:pos:R:3 pbc="T T T"
Li 0.571 0.582 4.156
Li 3.890 3.964 10.755
Ac 1.419 1.446 10.332
Ac 3.041 3.099 4.579
Ac 2.323 2.367 -0.650
Tl 0.000 0.000 0.000
Tl 1.735 4.181 12.635
Tl 4.148 1.814 12.635
Tl 2.725 0.364 2.276
Tl 0.313 2.731 2.276
Tl 0.953 0.971 6.938
Tl 3.507 3.574 7.973
```

Energy above the lowest structure with this stoichiometry = 0.060 eV per atom

14.
Material: LiAcTl2
Method: DFT, PBE
State: optimized geometry

Geometry as extended XYZ:
```
8
Lattice="-3.231 -3.119 2.228 -0.130 -4.052 -5.862 5.027 -1.849 4.702" Properties=species:S:1:pos:R:3 pbc="T T T"
Li 2.245 -3.473 1.214
Li -0.579 -5.548 -0.147
Ac -0.127 -4.486 -3.645
Ac 1.794 -4.535 4.713
Tl 1.561 -6.374 1.800
Tl -0.571 -3.806 2.305
Tl 0.106 -2.647 -0.732
Tl 2.237 -5.215 -1.237
```

Energy above the lowest structure with this stoichiometry = 0.002 eV per atom

15.
Material: Li3Ac3Tl2
Method: DFT, PBE
State: optimized geometry

Geometry as extended XYZ:
```
16
Lattice="-4.466 1.742 -1.751 -0.581 -4.298 4.641 0.311 12.023 11.172" Properties=species:S:1:pos:R:3 pbc="T T T"
Li -2.774 5.699 5.309
Li -1.824 9.088 13.695
Li -2.911 0.380 0.367
Li -1.961 3.769 8.753
Li -1.575 0.993 5.006
Li -3.160 8.476 9.056
Ac -4.321 2.848 6.417
Ac -0.328 9.942 10.731
Ac -4.407 -0.473 3.331
Ac -0.414 6.621 7.645
Ac -2.678 3.240 2.618
Ac -2.057 6.229 11.444
Tl -3.719 9.567 11.570
Tl -0.921 3.563 5.894
Tl -3.814 5.905 8.168
Tl -1.015 -0.099 2.492
```

Energy above the lowest structure with this stoichiometry = 0.000 eV per atom

16.
Material: LiAcTl2
Method: DFT, PBE
State: optimized geometry

Geometry as extended XYZ:
```
4
Lattice="-0.066 -3.465 -1.552 2.614 -1.167 2.495 -5.683 -2.115 4.964" Properties=species:S:1:pos:R:3 pbc="T T T"
Ac -1.567 -3.374 2.954
Tl -4.532 -1.687 3.959
Tl -1.150 -0.428 1.005
Li 1.274 -2.316 0.471
```

Energy above the lowest structure with this stoichiometry = 0.057 eV per atom

17.
Material: LiAcTl
Method: DFT, PBE
State: optimized geometry

Geometry as extended XYZ:
```
3
Lattice="3.865 0.000 0.000 0.000 5.176 0.000 0.000 -2.588 4.482" Properties=species:S:1:pos:R:3 pbc="T T T"
Ac 2.576 0.000 2.988
Tl 0.643 0.000 0.000
Li 0.646 2.588 1.494
```

Energy above the lowest structure with this stoichiometry = 0.023 eV per atom

18.
Material: Li2AcTl
Method: DFT, PBE
State: optimized geometry

Geometry as extended XYZ:
```
8
Lattice="-3.017 -1.422 -3.587 2.132 -6.510 0.787 -4.607 -0.993 4.268" Properties=species:S:1:pos:R:3 pbc="T T T"
Li -3.644 -2.310 3.981
Li -2.445 -5.971 4.423
Li -1.406 -2.648 -1.113
Li -0.473 -5.497 -0.768
Ac -1.810 -0.390 1.677
Ac -3.240 -4.568 1.191
Tl 0.046 -3.474 1.338
Tl -5.095 -1.484 1.530
```

Energy above the lowest structure with this stoichiometry = 0.000 eV per atom

19.
Material: LiAc8Tl2
Method: DFT, PBE
State: optimized geometry

Geometry as extended XYZ:
```
11
Lattice="5.767 0.000 0.000 0.000 7.645 0.603 -2.884 -2.521 9.714" Properties=species:S:1:pos:R:3 pbc="T T T"
Li 2.884 0.000 0.000
Ac 0.000 2.082 8.255
Ac 2.884 6.516 3.648
Ac 2.884 3.832 6.345
Ac 2.884 -0.515 9.377
Ac 0.000 1.292 3.973
Ac 0.000 -1.392 6.669
Ac 2.884 3.042 2.063
Ac 0.000 5.639 0.940
Tl 2.884 0.447 6.037
Tl 0.000 4.677 4.280
```

Total energy = -3.666 eV per atom

20.
Material: LiAc4Tl12
Method: DFT, PBE
State: optimized geometry

Geometry as extended XYZ:
```
17
Lattice="8.235 0.000 -2.911 -4.117 7.131 -2.911 0.000 0.000 8.734" Properties=species:S:1:pos:R:3 pbc="T T T"
Li 0.000 0.000 0.000
Ac 0.000 0.000 4.367
Ac 4.117 0.000 -1.456
Ac 2.059 3.566 1.456
Ac -2.059 3.566 -1.456
Tl -1.157 2.005 1.637
Tl -2.960 5.127 4.186
Tl 2.960 5.127 -4.186
Tl 1.157 2.005 -1.637
Tl 2.315 0.000 1.637
Tl 5.920 0.000 4.186
Tl 3.088 1.783 4.367
Tl 1.029 5.349 -1.456
Tl 5.147 1.783 1.456
Tl -1.029 5.349 1.456
Tl 4.117 3.566 -1.456
Tl 0.000 3.566 4.367
```

Total energy = -3.050 eV per atom